Here is a relaxed SiMoW2 crystal from Alexandria via LeMat-Bulk. Energies are from PBE.

abc: 2.744 4.388 5.255
angles: 90.00 104.90 90.00
Atoms (fractional coordinates):
Si  0.000  0.000  0.000
Mo  0.500  0.000  0.500
W  0.266  0.500  0.755
W  0.734  0.500  0.245

E above lowest polymorph in eV per atom: 0.103
Formation energy from raw total energies in kJ/mol of atoms: 8.42
Calculated volume in Å³ per atom: 15.29

***

Here is a relaxed SiMo2W crystal from Alexandria via LeMat-Bulk. Energies are from PBE.

abc: 3.266 3.266 5.695
angles: 90.00 90.00 90.00
Atoms (fractional coordinates):
Si  0.000  0.000  0.000
Mo  0.000  0.000  0.495
Mo  0.500  0.500  0.777
W  0.500  0.500  0.244

E above lowest polymorph in eV per atom: 0.081
Formation energy from raw total energies in kJ/mol of atoms: -1.61
Calculated volume in Å³ per atom: 15.19

***

Here is a relaxed SiMo3W crystal from Alexandria via LeMat-Bulk. Energies are from PBE.

abc: 4.435 4.435 4.435
angles: 90.00 90.00 90.00
Atoms (fractional coordinates):
Si  0.000  0.000  0.000
Mo  0.000  0.000  0.500
Mo  0.000  0.500  0.000
Mo  0.500  0.000  0.000
W  0.500  0.500  0.500

Formation energy from raw total energies in kJ/mol of atoms: 106.90
Calculated volume in Å³ per atom: 17.45

***

Here is a relaxed Si2MoW crystal from Alexandria via LeMat-Bulk. Energies are from PBE.

abc: 3.048 3.048 6.115
angles: 90.00 90.00 90.00
Atoms (fractional coordinates):
Si  0.000  0.000  0.247
Si  0.000  0.000  0.753
Mo  0.500  0.500  0.000
W  0.500  0.500  0.500

E above lowest polymorph in eV per atom: 0.337
Formation energy from raw total energies in kJ/mol of atoms: 0.27
Calculated volume in Å³ per atom: 14.21

***

Here is a relaxed Si2MoW crystal from Alexandria via LeMat-Bulk. Energies are from PBE.

abc: 4.178 3.075 8.921
angles: 90.00 90.00 90.00
Atoms (fractional coordinates):
Si  0.000  0.000  0.000
Si  0.000  0.500  0.500
Si  0.500  0.000  0.172
Si  0.500  0.500  0.672
Mo  0.500  0.000  0.448
Mo  0.500  0.500  0.948
W  0.000  0.000  0.725
W  0.000  0.500  0.225

E above lowest polymorph in eV per atom: 0.114
Formation energy from raw total energies in kJ/mol of atoms: -21.28
Calculated volume in Å³ per atom: 14.32

***

Here is a relaxed SiMo2W crystal from Alexandria via LeMat-Bulk. Energies are from PBE.

abc: 2.840 2.840 26.518
angles: 90.00 90.00 120.00
Atoms (fractional coordinates):
Si  0.000  0.000  0.000
Si  0.333  0.667  0.667
Si  0.667  0.333  0.333
Mo  0.000  0.000  0.254
Mo  0.000  0.000  0.746
Mo  0.333  0.667  0.412
Mo  0.333  0.667  0.921
Mo  0.667  0.333  0.079
Mo  0.667  0.333  0.588
W  0.000  0.000  0.500
W  0.333  0.667  0.167
W  0.667  0.333  0.833

E above lowest polymorph in eV per atom: 0.303
Formation energy from raw total energies in kJ/mol of atoms: 19.78
Calculated volume in Å³ per atom: 15.44

***

Here is a relaxed SiMoW2 crystal from Alexandria via LeMat-Bulk. Energies are from PBE.

abc: 3.274 3.274 5.686
angles: 90.00 90.00 90.00
Atoms (fractional coordinates):
Si  0.000  0.000  0.000
Mo  0.000  0.000  0.500
W  0.500  0.500  0.235
W  0.500  0.500  0.765

E above lowest polymorph in eV per atom: 0.071
Formation energy from raw total energies in kJ/mol of atoms: 5.37
Calculated volume in Å³ per atom: 15.24

***

Here is a relaxed SiMoW2 crystal from Alexandria via LeMat-Bulk. Energies are from PBE.

abc: 3.258 4.493 8.363
angles: 90.00 90.00 90.00
Atoms (fractional coordinates):
Si  0.000  0.000  0.000
Si  0.500  0.500  0.000
Mo  0.000  0.000  0.500
Mo  0.500  0.500  0.500
W  0.000  0.500  0.237
W  0.000  0.500  0.763
W  0.500  0.000  0.237
W  0.500  0.000  0.763

E above lowest polymorph in eV per atom: 0.074
Formation energy from raw total energies in kJ/mol of atoms: 5.65
Calculated volume in Å³ per atom: 15.30

***

Here is a relaxed SiMoW2 crystal from Alexandria via LeMat-Bulk. Energies are from PBE.

abc: 3.240 4.510 8.382
angles: 90.00 90.00 90.00
Atoms (fractional coordinates):
Si  0.000  0.000  0.000
Si  0.500  0.500  0.000
Mo  0.000  0.500  0.766
Mo  0.500  0.000  0.766
W  0.000  0.000  0.502
W  0.000  0.500  0.238
W  0.500  0.000  0.238
W  0.500  0.500  0.502

E above lowest polymorph in eV per atom: 0.034
Formation energy from raw total energies in kJ/mol of atoms: 1.77
Calculated volume in Å³ per atom: 15.31

***

Here is a relaxed SiMoW2 crystal from Alexandria via LeMat-Bulk. Energies are from PBE.

abc: 3.721 3.721 8.842
angles: 90.00 90.00 90.00
Atoms (fractional coordinates):
Si  0.000  0.000  0.000
Si  0.500  0.500  0.500
Mo  0.000  0.000  0.500
Mo  0.500  0.500  0.000
W  0.000  0.500  0.250
W  0.000  0.500  0.750
W  0.500  0.000  0.250
W  0.500  0.000  0.750

E above lowest polymorph in eV per atom: 0.137
Formation energy from raw total energies in kJ/mol of atoms: 11.72
Calculated volume in Å³ per atom: 15.31

***

Here is a relaxed SiMoW2 crystal from Alexandria via LeMat-Bulk. Energies are from PBE.

abc: 3.207 4.323 8.707
angles: 90.00 90.00 90.00
Atoms (fractional coordinates):
Si  0.000  0.000  0.000
Si  0.500  0.500  0.500
Mo  0.000  0.500  0.750
Mo  0.500  0.000  0.250
W  0.000  0.000  0.500
W  0.000  0.500  0.250
W  0.500  0.000  0.750
W  0.500  0.500  0.000

E above lowest polymorph in eV per atom: 0.000
Formation energy from raw total energies in kJ/mol of atoms: -1.49
Calculated volume in Å³ per atom: 15.09

***

Here is a relaxed Si2MoW crystal from Alexandria via LeMat-Bulk. Energies are from PBE.

abc: 8.914 3.058 4.381
angles: 90.00 105.62 90.00
Atoms (fractional coordinates):
Si  0.000  0.000  0.000
Si  0.243  0.500  0.325
Si  0.500  0.500  0.000
Si  0.743  0.000  0.325
Mo  0.486  0.000  0.482
Mo  0.986  0.500  0.482
W  0.257  0.000  0.839
W  0.757  0.500  0.839

E above lowest polymorph in eV per atom: 0.183
Formation energy from raw total energies in kJ/mol of atoms: -14.57
Calculated volume in Å³ per atom: 14.37

***

Here is a relaxed SiMoW2 crystal from Alexandria via LeMat-Bulk. Energies are from PBE.

abc: 2.836 2.836 26.672
angles: 90.00 90.00 120.00
Atoms (fractional coordinates):
Si  0.000  0.000  0.000
Si  0.333  0.667  0.667
Si  0.667  0.333  0.333
Mo  0.000  0.000  0.500
Mo  0.333  0.667  0.167
Mo  0.667  0.333  0.833
W  0.000  0.000  0.254
W  0.000  0.000  0.746
W  0.333  0.667  0.412
W  0.333  0.667  0.921
W  0.667  0.333  0.079
W  0.667  0.333  0.588

E above lowest polymorph in eV per atom: 0.299
Formation energy from raw total energies in kJ/mol of atoms: 27.38
Calculated volume in Å³ per atom: 15.48

***

Here is a relaxed Si2MoW crystal from Alexandria via LeMat-Bulk. Energies are from PBE.

abc: 6.544 6.544 5.948
angles: 90.00 90.00 90.00
Atoms (fractional coordinates):
Si  0.249  0.750  0.125
Si  0.250  0.249  0.875
Si  0.250  0.251  0.375
Si  0.251  0.750  0.625
Si  0.749  0.250  0.625
Si  0.750  0.749  0.375
Si  0.750  0.751  0.875
Si  0.751  0.250  0.125
Mo  0.000  0.000  0.000
Mo  0.000  0.500  0.250
Mo  0.500  0.000  0.750
Mo  0.500  0.500  0.500
W  0.000  0.000  0.500
W  0.000  0.500  0.750
W  0.500  0.000  0.250
W  0.500  0.500  0.000

E above lowest polymorph in eV per atom: 0.861
Formation energy from raw total energies in kJ/mol of atoms: 50.82
Calculated volume in Å³ per atom: 15.92

***

Here is a relaxed ZrSi2MoW crystal from Alexandria via LeMat-Bulk. Energies are from PBE.

abc: 4.788 4.788 4.747
angles: 90.00 90.00 90.00
Atoms (fractional coordinates):
Zr  0.000  0.000  0.000
Si  0.000  0.500  0.000
Si  0.500  0.000  0.000
Mo  0.000  0.000  0.500
W  0.500  0.500  0.500

Formation energy from raw total energies in kJ/mol of atoms: 204.28
Calculated volume in Å³ per atom: 21.76